The following is a DFT calculation (GGA-PBE) of crystalline Co2ReTcAg at its relaxed geometry.

Properties
* calculated volume: 18.3 Å³/atom
* formation enthalpy at 0 K: 2.51 eV/atom

Cell: 4.3754 4.3754 4.7867 Å, 90.00 90.00 90.00°
With the nearest neighbours (Å) after each atom.
Element x y z (fractional)
Co (0.0000, 0.5000, 0.0000)  2 Ag 2.19
Co (0.5000, 0.0000, 0.0000)  2 Ag 2.19
Re (0.0000, 0.0000, 0.5000)  4 Tc 3.09, 8 Co 3.24
Tc (0.5000, 0.5000, 0.5000)  2 Ag 2.39
Ag (0.5000, 0.5000, 0.0000)  4 Co 2.19, 2 Tc 2.39

---

The following is a DFT calculation (GGA-PBE) of crystalline TbEr2Tm2Mg2 at its relaxed geometry.

Properties
* calculated volume: 28.4 Å³/atom
* formation enthalpy at 0 K: -0.02 eV/atom

Cell: 8.5088 8.5088 8.5088 Å, 36.91 36.91 36.91°
With the nearest neighbours (Å) after each atom.
Element x y z (fractional)
Tb (0.0000, 0.0000, 0.0000)  6 Mg 3.28, 2 Tm 3.68
Er (0.4275, 0.4275, 0.4275)  4 Mg 3.29-3.33, 3 Tm 3.43, 1 Er 3.45
Er (0.5725, 0.5725, 0.5725)  4 Mg 3.29-3.33, 3 Tm 3.43, 1 Er 3.45
Tm (0.1547, 0.1547, 0.1547)  3 Tm 3.16, 1 Mg 3.19, 3 Er 3.43
Tm (0.8453, 0.8453, 0.8453)  3 Tm 3.16, 1 Mg 3.19, 3 Er 3.43
Mg (0.2890, 0.2890, 0.2890)  1 Tm 3.19, 3 Tb 3.28, 4 Er 3.29-3.33
Mg (0.7110, 0.7110, 0.7110)  1 Tm 3.19, 3 Tb 3.28, 4 Er 3.29-3.33

---

The following is a DFT calculation (GGA-PBE) of crystalline YAg2Pt2 at its relaxed geometry.

Properties
* energy above the lowest structure with this stoichiometry: 0.298 eV/atom
* calculated volume: 20.0 Å³/atom
* formation enthalpy at 0 K: -0.20 eV/atom

Cell: 6.8860 6.8860 6.8860 Å, 146.29 146.29 48.42°
With the nearest neighbours (Å) after each atom.
Element x y z (fractional)
Y (0.0000, 0.0000, 0.0000)  8 Ag 3.11
Ag (0.3967, 0.3967, 0.0000)  1 Ag 2.59, 4 Pt 2.72
Ag (0.6033, 0.6033, 0.0000)  1 Ag 2.59, 4 Pt 2.72
Pt (0.2500, 0.7500, 0.5000)  4 Ag 2.72, 4 Pt 2.82
Pt (0.7500, 0.2500, 0.5000)  4 Ag 2.72, 4 Pt 2.82

---

The following is a DFT calculation (GGA-PBE) of crystalline Nd5SmSc at its relaxed geometry.

Properties
* calculated volume: 35.4 Å³/atom
* formation enthalpy at 0 K: 0.24 eV/atom

Cell: 5.3734 5.3734 8.5917 Å, 90.00 90.00 90.00°
With the nearest neighbours (Å) after each atom.
Element x y z (fractional)
Nd (0.0000, 0.0000, 0.0000)  8 Nd 3.66, 4 Sm 3.80
Nd (0.0000, 0.5000, 0.2890)  2 Sc 3.24, 1 Nd 3.63
Nd (0.0000, 0.5000, 0.7110)  2 Sc 3.24, 1 Nd 3.63
Nd (0.5000, 0.0000, 0.2890)  2 Sc 3.24, 1 Nd 3.63
Nd (0.5000, 0.0000, 0.7110)  2 Sc 3.24, 1 Nd 3.63
Sm (0.5000, 0.5000, 0.0000)  12 Nd 3.66-3.80
Sc (0.5000, 0.5000, 0.5000)  8 Nd 3.24

---

The following is a DFT calculation (GGA-PBE) of crystalline Tm5AlIn2 at its relaxed geometry.

Properties
* calculated volume: 26.5 Å³/atom
* formation enthalpy at 0 K: -0.22 eV/atom

Cell: 6.0135 6.0135 17.0344 Å, 90.00 90.00 136.60°
With the nearest neighbours (Å) after each atom.
Element x y z (fractional)
Tm (0.0428, 0.9572, 0.7500)  3 Al 3.15-3.30, 4 Tm 3.53
Tm (0.1540, 0.8460, 0.5394)  2 In 3.14, 6 Tm 3.31-3.48
Tm (0.1540, 0.8460, 0.9606)  2 In 3.14, 6 Tm 3.31-3.48
Tm (0.4552, 0.5448, 0.6000)  1 Al 2.94
Tm (0.4552, 0.5448, 0.9000)  1 Al 2.94
Tm (0.5448, 0.4552, 0.1000)  1 Al 2.94
Tm (0.5448, 0.4552, 0.4000)  1 Al 2.94
Tm (0.8460, 0.1540, 0.0394)  2 In 3.14, 6 Tm 3.31-3.48
Tm (0.8460, 0.1540, 0.4606)  2 In 3.14, 6 Tm 3.31-3.48
Tm (0.9572, 0.0428, 0.2500)  3 Al 3.15-3.30, 4 Tm 3.53
Al (0.3247, 0.6753, 0.7500)  4 In 2.89, 3 Tm 2.94-3.15
Al (0.6753, 0.3247, 0.2500)  4 In 2.89, 3 Tm 2.94-3.15
In (0.2570, 0.7430, 0.1560)  2 Al 2.89, 2 Tm 3.14, 1 In 3.20
In (0.2570, 0.7430, 0.3440)  2 Al 2.89, 2 Tm 3.14, 1 In 3.20
In (0.7430, 0.2570, 0.6560)  2 Al 2.89, 2 Tm 3.14, 1 In 3.20
In (0.7430, 0.2570, 0.8440)  2 Al 2.89, 2 Tm 3.14, 1 In 3.20

---

The following is a DFT calculation (GGA-PBE) of crystalline Tl2Cu2SeI6 at its relaxed geometry.

Properties
* calculated volume: 37.9 Å³/atom
* energy relative to the elements, uncorrected: -0.248 eV per atom

Cell: 8.7096 8.7096 6.9725 Å, 101.81 101.81 54.01°
With the nearest neighbours (Å) after each atom.
Element x y z (fractional)
Tl (0.2282, 0.2282, 0.2227)  3 I 3.41-3.64
Tl (0.7718, 0.7718, 0.7773)  3 I 3.41-3.64
Cu (0.4735, 0.4735, 0.7971)  3 I 2.52-2.56, 1 Cu 2.76
Cu (0.5265, 0.5265, 0.2029)  3 I 2.52-2.56, 1 Cu 2.76
Se (0.0000, 0.0000, 0.5000)  4 I 2.85
I (0.1727, 0.6750, 0.2164)  1 Cu 2.56, 1 Se 2.85
I (0.3069, 0.3069, 0.7211)  1 Cu 2.52
I (0.3250, 0.8273, 0.7836)  1 Cu 2.56, 1 Se 2.85
I (0.6750, 0.1727, 0.2164)  1 Cu 2.56, 1 Se 2.85
I (0.6931, 0.6931, 0.2789)  1 Cu 2.52
I (0.8273, 0.3250, 0.7836)  1 Cu 2.56, 1 Se 2.85

---

The following is a DFT calculation (GGA-PBE) of crystalline InIr at its relaxed geometry.

Properties
* calculated volume: 33.6 Å³/atom
* formation enthalpy at 0 K: 1.05 eV/atom

Cell: 7.3874 7.3874 7.3874 Å, 90.00 90.00 90.00°
With the nearest neighbours (Å) after each atom.
Element x y z (fractional)
In (0.0000, 0.2500, 0.5000)  4 Ir 2.61
In (0.0000, 0.7500, 0.5000)  4 Ir 2.61
In (0.2500, 0.5000, 0.0000)  4 Ir 2.61
In (0.5000, 0.0000, 0.2500)  4 Ir 2.61
In (0.5000, 0.0000, 0.7500)  4 Ir 2.61
In (0.7500, 0.5000, 0.0000)  4 Ir 2.61
Ir (0.0000, 0.5000, 0.2500)  4 In 2.61
Ir (0.0000, 0.5000, 0.7500)  4 In 2.61
Ir (0.2500, 0.0000, 0.5000)  4 In 2.61
Ir (0.5000, 0.2500, 0.0000)  4 In 2.61
Ir (0.5000, 0.7500, 0.0000)  4 In 2.61
Ir (0.7500, 0.0000, 0.5000)  4 In 2.61

---

The following is a DFT calculation (GGA-PBE) of crystalline Ho2ZnGa12 at its relaxed geometry.

Properties
* calculated volume: 19.4 Å³/atom
* formation enthalpy at 0 K: -0.24 eV/atom

Cell: 6.2184 6.2184 15.0506 Å, 90.00 90.00 90.00°
With the nearest neighbours (Å) after each atom.
Element x y z (fractional)
Ho (0.2500, 0.7500, 0.2460)  14 Ga 3.12-3.45
Ho (0.2500, 0.7500, 0.7540)  14 Ga 3.12-3.45
Ho (0.7500, 0.2500, 0.2460)  14 Ga 3.12-3.45
Ho (0.7500, 0.2500, 0.7540)  14 Ga 3.12-3.45
Zn (0.2500, 0.7500, 0.0000)  8 Ga 2.59-2.60
Zn (0.7500, 0.2500, 0.0000)  8 Ga 2.59-2.60
Ga (0.0005, 0.5005, 0.0912)  2 Zn 2.59-2.60, 3 Ga 2.60-2.75
Ga (0.0005, 0.9995, 0.9088)  2 Zn 2.59-2.60, 3 Ga 2.60-2.75
Ga (0.0839, 0.5839, 0.5709)  3 Ga 2.59-2.64
Ga (0.0839, 0.9161, 0.4291)  3 Ga 2.59-2.64
Ga (0.2500, 0.2500, 0.1840)  5 Ga 2.43-2.60
Ga (0.2500, 0.2500, 0.3454)  5 Ga 2.43-2.64
Ga (0.2500, 0.2500, 0.6546)  5 Ga 2.43-2.64
Ga (0.2500, 0.2500, 0.8160)  5 Ga 2.43-2.60
Ga (0.4161, 0.5839, 0.4291)  3 Ga 2.59-2.64
Ga (0.4161, 0.9161, 0.5709)  3 Ga 2.59-2.64
Ga (0.4995, 0.5005, 0.9088)  2 Zn 2.59-2.60, 3 Ga 2.60-2.75
Ga (0.4995, 0.9995, 0.0912)  2 Zn 2.59-2.60, 3 Ga 2.60-2.75
Ga (0.5005, 0.0005, 0.9088)  2 Zn 2.59-2.60, 3 Ga 2.60-2.75
Ga (0.5005, 0.4995, 0.0912)  2 Zn 2.59-2.60, 3 Ga 2.60-2.75
Ga (0.5839, 0.0839, 0.4291)  3 Ga 2.59-2.64
Ga (0.5839, 0.4161, 0.5709)  3 Ga 2.59-2.64
Ga (0.7500, 0.7500, 0.1840)  5 Ga 2.43-2.60
Ga (0.7500, 0.7500, 0.3454)  5 Ga 2.43-2.64
Ga (0.7500, 0.7500, 0.6546)  5 Ga 2.43-2.64
Ga (0.7500, 0.7500, 0.8160)  5 Ga 2.43-2.60
Ga (0.9161, 0.0839, 0.5709)  3 Ga 2.59-2.64
Ga (0.9161, 0.4161, 0.4291)  3 Ga 2.59-2.64
Ga (0.9995, 0.0005, 0.0912)  2 Zn 2.59-2.60, 3 Ga 2.60-2.75
Ga (0.9995, 0.4995, 0.9088)  2 Zn 2.59-2.60, 3 Ga 2.60-2.75